Record 1
Ba3Nb2S2O5, relaxed, DFT GGA-PBE; magnetization = 0.01 μB/f.u.; E_form (uncorrected) = -29.09 eV/f.u.; electronic total energy = -7.337 eV per atom
1.0
4.2446 0.0000 0.0000
0.0000 4.2446 0.0000
-2.1223 -2.1223 12.0636
Ba Nb S O
3 2 2 5
Direct
0.1725 0.1725 0.3451
0.8275 0.8275 0.6549
0.0000 0.0000 0.0000
0.4157 0.4157 0.8314
0.5843 0.5843 0.1686
0.6917 0.6917 0.3835
0.3083 0.3083 0.6165
0.5842 0.0842 0.1684
0.4158 0.9158 0.8316
0.0842 0.5842 0.1684
0.9158 0.4158 0.8316
0.5000 0.5000 0.0000



Record 2
BaNbS2O, relaxed, DFT GGA-PBE; magnetization = 0.00 μB/f.u.; E_form (uncorrected) = -9.25 eV/f.u.; electronic total energy = -6.891 eV per atom
1.0
-0.3534 0.7355 4.9756
-1.6617 -4.7249 0.5805
3.7972 -1.2791 0.4588
S Nb Ba O
2 1 1 1
Direct
0.0000 0.5000 0.0000
0.5000 0.0000 0.0000
0.0000 0.0000 0.0000
0.5000 0.5000 0.5000
0.0000 0.0000 0.5000



Record 3
BaNbSb2O8, relaxed, DFT GGA-PBE; magnetization = 0.00 μB/f.u.; E_form (uncorrected) = -21.47 eV/f.u.; electronic total energy = -6.781 eV per atom
1.0
-3.8793 -0.0402 -3.2584
-0.4217 -5.0469 0.0483
-4.4141 0.4193 5.2504
Ba Nb Sb O
1 1 2 8
Direct
0.0000 0.0000 0.5000
0.0000 0.0000 0.0000
0.5000 0.5000 0.7569
0.5000 0.5000 0.2431
0.2062 0.7937 0.1989
0.6968 0.6970 0.0000
0.7939 0.2063 0.1989
0.7938 0.2063 0.8011
0.3032 0.3030 0.0000
0.2061 0.7937 0.8011
0.6605 0.6617 0.5000
0.3395 0.3383 0.5000



Record 4
Ba2NbSbO6, relaxed, DFT GGA-PBE; magnetization = 0.00 μB/f.u.; E_form (uncorrected) = -24.21 eV/f.u.; electronic total energy = -7.200 eV per atom
1.0
-0.9645 4.8634 -3.5813
2.5193 -3.2213 -5.0529
-7.6410 -2.9403 -1.9352
Ba Nb Sb O
4 2 2 12
Direct
0.5000 0.7652 0.2566
0.0000 0.2348 0.7566
0.5000 0.7652 0.7434
0.0000 0.2348 0.2434
0.0000 0.7611 0.5000
0.5000 0.2389 0.0000
0.5000 0.2234 0.5000
0.0000 0.7766 0.0000
0.5000 0.1866 0.2348
0.5000 0.1866 0.7652
0.0000 0.8134 0.2652
0.0000 0.8134 0.7348
0.2503 0.0195 0.5000
0.7497 0.0195 0.5000
0.2353 0.5734 0.5000
0.7647 0.5734 0.5000
0.7353 0.4266 0.0000
0.2647 0.4266 0.0000
0.2497 0.9805 0.0000
0.7503 0.9805 0.0000



Record 5
Ba3ScNb2O9, relaxed, DFT GGA-PBE; magnetization = 0.00 μB/f.u.; E_form (uncorrected) = -44.36 eV/f.u.; electronic total energy = -8.081 eV per atom
1.0
-2.5130 -4.8421 2.2186
4.5089 -0.4805 -3.7578
4.6243 0.1344 5.5314
Ba Sc Nb O
3 1 2 9
Direct
0.3333 0.6667 0.6651
0.0000 0.0000 0.0000
0.6667 0.3333 0.3349
0.0000 0.0000 0.5000
0.3333 0.6667 0.1701
0.6667 0.3333 0.8299
0.8297 0.1703 0.6722
0.8297 0.6595 0.6722
0.3405 0.1703 0.6722
0.6595 0.8297 0.3278
0.1703 0.3405 0.3278
0.1703 0.8297 0.3278
0.5000 0.0000 0.0000
0.0000 0.5000 0.0000
0.5000 0.5000 0.0000



Record 6
Ba3Sc2NbO8, relaxed, DFT GGA-PBE; magnetization = 1.01 μB/f.u.; E_form (uncorrected) = -39.99 eV/f.u.; electronic total energy = -7.726 eV per atom
1.0
5.9856 0.0000 0.0000
-2.9928 5.1836 0.0000
0.0000 0.0000 7.6503
Ba Sc Nb O
3 2 1 8
Direct
0.3333 0.6667 0.6462
0.6667 0.3333 0.3538
0.0000 0.0000 0.0000
0.3333 0.6667 0.2140
0.6667 0.3333 0.7860
0.0000 0.0000 0.5000
0.3333 0.6667 0.9661
0.6667 0.3333 0.0339
0.1597 0.8403 0.3342
0.8403 0.1597 0.6658
0.1597 0.3194 0.3342
0.8403 0.6806 0.6658
0.6806 0.8403 0.3342
0.3194 0.1597 0.6658



- The lowest E_form (uncorrected) belongs to which entry?
  Ba3ScNb2O9



Copy entry 3 word for word.
BaNbSb2O8, relaxed, DFT GGA-PBE; magnetization = 0.00 μB/f.u.; E_form (uncorrected) = -21.47 eV/f.u.; electronic total energy = -6.781 eV per atom
1.0
-3.8793 -0.0402 -3.2584
-0.4217 -5.0469 0.0483
-4.4141 0.4193 5.2504
Ba Nb Sb O
1 1 2 8
Direct
0.0000 0.0000 0.5000
0.0000 0.0000 0.0000
0.5000 0.5000 0.7569
0.5000 0.5000 0.2431
0.2062 0.7937 0.1989
0.6968 0.6970 0.0000
0.7939 0.2063 0.1989
0.7938 0.2063 0.8011
0.3032 0.3030 0.0000
0.2061 0.7937 0.8011
0.6605 0.6617 0.5000
0.3395 0.3383 0.5000